## MnGePd5 (PBE)

Data for MnGePd5 after structural relaxation.

Geometry as POSCAR:
```
MnGePd5
1.0
5.2684 0.3410 0.7488
1.9948 4.8880 0.7488
3.5592 2.5624 9.8487
Pd Ge Mn
10 2 2
Direct
0.5764 0.8778 0.2555
0.0638 0.9362 0.2500
0.1222 0.4236 0.2445
0.5713 0.7130 0.0133
0.8778 0.5764 0.7555
0.4236 0.1222 0.7445
0.9362 0.0638 0.7500
0.2870 0.4287 0.4867
0.7130 0.5713 0.5133
0.4287 0.2870 0.9867
0.6354 0.3646 0.2500
0.3646 0.6354 0.7500
0.0000 0.0000 0.5000
0.0000 0.0000 0.0000
```

Properties
Polymorph energy (0 for the lowest one) in eV/atom: 0.144
Calculated volume in Å³/f.u.: 114

---

## MnGe2Pd7 (PBE)

Data for MnGe2Pd7 after structural relaxation.

Geometry as POSCAR:
```
MnGe2Pd7
1.0
3.9671 0.0000 -0.7633
-0.1469 3.9644 -0.7633
-0.0731 -0.0759 10.3103
Pd Mn Ge
7 1 2
Direct
0.9021 0.4021 0.8041
0.4021 0.9021 0.8041
0.7500 0.2500 0.5000
0.2500 0.7500 0.5000
0.0979 0.5979 0.1959
0.5979 0.0979 0.1959
0.5000 0.5000 0.0000
0.0000 0.0000 0.0000
0.6716 0.6716 0.3432
0.3284 0.3284 0.6568
```

Properties
Polymorph energy (0 for the lowest one) in eV/atom: 0.000
Calculated volume in Å³/f.u.: 162

---

## MnGePd4 (PBE)

Data for MnGePd4 after structural relaxation.

Geometry as POSCAR:
```
MnGePd4
1.0
-2.4167 -2.7595 1.9682
1.0828 -4.0167 0.1003
3.0351 -1.1805 6.4738
Mn Pd Ge
1 4 1
Direct
0.0000 0.0000 0.0000
0.1276 0.1275 0.6173
0.8724 0.8725 0.3827
0.3787 0.3785 0.8641
0.6213 0.6215 0.1359
0.5000 0.5000 0.5000
```

Properties
Calculated volume in Å³/f.u.: 103

---

## Mn2Ge2Pd7 (PBE)

Data for Mn2Ge2Pd7 after structural relaxation.

Geometry as POSCAR:
```
Mn2Ge2Pd7
1.0
5.2894 -0.0204 -1.0956
0.0181 7.0791 -0.0110
-1.4230 0.0169 5.2109
Mn Pd Ge
2 7 2
Direct
0.7233 0.0002 0.2767
0.2767 0.9998 0.7233
0.5001 0.7809 0.4999
0.5003 0.6932 0.0000
0.4997 0.3068 0.0000
0.4999 0.2191 0.5001
0.0000 0.3068 0.5003
0.0000 0.6932 0.4997
0.0000 0.0000 0.0000
0.7752 0.5000 0.7752
0.2248 0.5000 0.2248
```

Properties
Calculated volume in Å³/f.u.: 184

---

## MnGePd3 (PBE)

Data for MnGePd3 after structural relaxation.

Geometry as POSCAR:
```
MnGePd3
1.0
6.6984 0.0043 0.6124
-0.0009 7.1848 0.0009
1.2261 -0.0043 6.6136
Ge Pd Mn
4 12 4
Direct
0.5762 0.2500 0.5762
0.4238 0.7500 0.4238
0.0759 0.2500 0.0759
0.9241 0.7500 0.9241
0.9396 0.0732 0.7995
0.5601 0.5734 0.7002
0.0470 0.6954 0.5471
0.7995 0.4268 0.9396
0.0604 0.9268 0.2005
0.9530 0.3046 0.4529
0.5471 0.8046 0.0470
0.4399 0.4266 0.2998
0.2005 0.5732 0.0604
0.4529 0.1954 0.9530
0.7002 0.9266 0.5601
0.2998 0.0734 0.4399
0.8033 0.6029 0.3031
0.3031 0.8971 0.8033
0.1967 0.3971 0.6969
0.6969 0.1029 0.1967
```

Properties
Polymorph energy (0 for the lowest one) in eV/atom: 0.000
Calculated volume in Å³/f.u.: 78

---

## MnGe2Pd8 (PBE)

Data for MnGe2Pd8 after structural relaxation.

Geometry as POSCAR:
```
MnGe2Pd8
1.0
-1.2508 -4.2952 0.3241
2.4637 0.9218 6.1423
-5.9796 2.8512 -0.8727
Pd Ge Mn
8 2 1
Direct
0.3234 0.6226 0.6226
0.9039 0.9260 0.6807
0.0961 0.3193 0.0740
0.6766 0.3774 0.3774
0.5000 0.7667 0.2333
0.5000 0.2333 0.7667
0.9039 0.6807 0.9260
0.0961 0.0740 0.3193
0.0000 0.3191 0.6809
0.0000 0.6809 0.3191
0.5000 0.0000 0.0000
```

Properties
Polymorph energy (0 for the lowest one) in eV/atom: 0.018
Calculated volume in Å³/f.u.: 175

---

## MnGe2Pd6 (PBE)

Data for MnGe2Pd6 after structural relaxation.

Geometry as POSCAR:
```
MnGe2Pd6
1.0
2.8831 0.0000 0.0000
-1.4416 7.2890 0.3875
0.0000 -1.7108 6.8703
Mn Pd Ge
1 6 2
Direct
0.0000 0.0000 0.5000
0.6587 0.3174 0.4859
0.8536 0.7072 0.1548
0.1464 0.2928 0.8452
0.9509 0.9018 0.8265
0.0491 0.0982 0.1735
0.3413 0.6826 0.5141
0.7826 0.5653 0.7888
0.2174 0.4347 0.2112
```

Properties
Calculated volume in Å³/f.u.: 146

---

## Mn2GePd6 (PBE)

Data for Mn2GePd6 after structural relaxation.

Geometry as POSCAR:
```
Mn2GePd6
1.0
4.1485 0.0000 -0.1634
0.0000 5.9072 0.0000
-1.8394 -2.9536 6.3721
Mn Pd Ge
2 6 1
Direct
0.6687 0.6680 0.3360
0.3313 0.3320 0.6640
0.5000 0.7553 0.0000
0.1636 0.9179 0.3260
0.8364 0.0821 0.6740
0.8364 0.5919 0.6740
0.5000 0.2447 0.0000
0.1636 0.4081 0.3260
0.0000 0.0000 0.0000
```

Properties
Calculated volume in Å³/f.u.: 154

---

Result set for formation energy from the elements: -4.9, -9.1, -5.0, -1.7, -6.5, -7.4, -4.7, -2.9 kcal/mol of atoms, one per record in the order listed.